Entry from Alexandria via LeMat-Bulk: an optimized crystal structure of Ac2HWO6 (GGA+U).

Lattice parameters (Å, degrees): 5.304 5.943 6.013 64.07 65.63 64.23
Fractional coordinates of all 10 atoms:
Ac: 0.000 0.000 0.000
Ac: 0.471 0.578 0.510
H: 0.844 0.577 0.920
W: 0.232 0.282 0.242
O: 0.037 0.596 0.375
O: 0.040 0.567 0.909
O: 0.345 0.041 0.559
O: 0.440 0.958 0.112
O: 0.549 0.417 0.980
O: 0.872 0.208 0.366

Computed properties:
- V (Å³/cell) = 148
- symmetry = P1, No. 1
- total magnetic moment (μB per formula unit) = 1.00
- uncorrected energy (eV/atom) = -7.45
- D(E_F) (states/eV/f.u.) = 0.00